No. 1
This record from the Alexandria database describes NaTcO after structural relaxation. The functional is PBE-GGA.

Structure (POSCAR):
```
NaTcO
1.0
2.779 0.000 0.000
1.328 3.950 0.000
1.369 -0.131 7.230
Na Tc O
2 2 2
Direct
0.000 0.000 0.000
0.386 0.482 0.756
0.097 0.514 0.277
0.763 0.002 0.459
0.145 0.023 0.675
0.687 0.551 0.058
```

Results
The density of states at the Fermi level is 0.57 states/eV per atom. The energy above the most stable polymorph in this dataset comes out at 0.46 eV per formula unit. Its crystal system is triclinic. For the magnetization, the calculation gives 0.00 μB per cell. As for the space-group type: P1, No. 1.

No. 2
This record from the Alexandria database describes NdThSe2N after structural relaxation. The functional is PBE-GGA.

Structure (POSCAR):
```
NdThSe2N
1.0
4.122 0.000 0.000
0.000 4.122 0.000
0.000 0.000 15.040
Nd Th Se N
2 2 4 2
Direct
0.250 0.250 0.127
0.750 0.750 0.873
0.250 0.250 0.577
0.750 0.750 0.423
0.250 0.250 0.310
0.250 0.250 0.910
0.750 0.750 0.090
0.750 0.750 0.690
0.250 0.750 0.500
0.750 0.250 0.500
```

Results
The density of states at the Fermi level is 0.39 states/eV per atom. Its crystal system is tetragonal. The value obtained for the total energy is -73.37 eV per cell. For the magnetization, the calculation gives 0.00 μB per cell. As for the space-group type: P4/nmm, No. 129.

No. 3
This record from the Alexandria database describes Dy3GaGe after structural relaxation. The functional is PBE-GGA.

Structure (POSCAR):
```
Dy3GaGe
1.0
6.726 -3.838 0.000
6.726 3.838 0.000
-5.067 0.000 11.242
Dy Ga Ge
12 4 4
Direct
0.106 0.245 0.376
0.169 0.707 0.946
0.245 0.106 0.876
0.272 0.427 0.215
0.293 0.831 0.554
0.427 0.272 0.715
0.573 0.728 0.285
0.707 0.169 0.446
0.728 0.573 0.785
0.755 0.894 0.124
0.831 0.293 0.054
0.894 0.755 0.624
0.015 0.291 0.629
0.291 0.015 0.129
0.709 0.985 0.871
0.985 0.709 0.371
0.000 0.500 0.000
0.306 0.694 0.750
0.500 0.000 0.500
0.694 0.306 0.250
```

Results
The density of states at the Fermi level is 0.44 states/eV per atom. Its crystal system is monoclinic. The formation energy comes out at -0.41 eV per atom. For the magnetization, the calculation gives 0.00 μB per cell. As for the space-group type: C2/c, No. 15.

No. 4
This record from the Alexandria database describes Sb2As2S7 after structural relaxation. The functional is PBE-GGA.

Structure (POSCAR):
```
Sb2As2S7
1.0
4.886 -5.119 0.000
4.886 5.119 0.000
-0.775 0.000 6.054
Sb As S
2 2 7
Direct
0.185 0.815 0.000
0.815 0.185 0.000
0.276 0.276 0.596
0.724 0.724 0.404
0.048 0.408 0.772
0.091 0.091 0.253
0.408 0.048 0.772
0.500 0.500 0.500
0.592 0.952 0.228
0.909 0.909 0.747
0.952 0.592 0.228
```

Results
The density of states at the Fermi level is 0.05 states/eV per atom. Its crystal system is monoclinic. The value obtained for the total energy is -46.10 eV per cell. For the magnetization, the calculation gives 0.00 μB per cell. As for the space-group type: C2/m, No. 12.

No. 5
This record from the Alexandria database describes MgReGe2 after structural relaxation. The functional is PBE-GGA.

Structure (POSCAR):
```
MgReGe2
1.0
1.528 0.882 9.400
-1.528 0.882 9.400
0.000 -1.764 9.400
Mg Re Ge
1 1 2
Direct
0.000 0.000 0.000
0.500 0.500 0.500
0.099 0.099 0.099
0.901 0.901 0.901
```

Results
The density of states at the Fermi level is 0.92 states/eV per atom. Its crystal system is trigonal. The formation energy comes out at 0.20 eV per atom. For the magnetization, the calculation gives 0.00 μB per cell. As for the space-group type: R-3m, No. 166.

No. 6
This record from the Alexandria database describes SrZrW after structural relaxation. The functional is PBE-GGA.

Structure (POSCAR):
```
SrZrW
1.0
-1.487 1.487 8.157
1.487 -1.487 8.157
1.487 1.487 -8.157
Sr Zr W
1 1 1
Direct
0.000 0.000 0.000
0.703 0.703 0.000
0.336 0.336 0.000
```

Results
The density of states at the Fermi level is 1.08 states/eV per atom. The energy above the most stable polymorph in this dataset comes out at 0.60 eV per formula unit. Its crystal system is tetragonal. The formation energy comes out at 0.87 eV per atom. For the magnetization, the calculation gives 0.00 μB per cell. As for the space-group type: I4mm, No. 107.

No. 7
This record from the Alexandria database describes Cd2AgAu after structural relaxation. The functional is PBE-GGA.

Structure (POSCAR):
```
Cd2AgAu
1.0
5.248 -1.624 0.000
5.248 1.624 0.000
-1.758 0.000 4.575
Cd Ag Au
2 1 1
Direct
0.000 0.000 0.000
0.233 0.233 0.641
0.751 0.751 0.151
0.486 0.486 0.495
```

Results
The density of states at the Fermi level is 0.14 states/eV per atom. The energy above the most stable polymorph in this dataset comes out at 0.07 eV per formula unit. Its crystal system is monoclinic. The formation energy comes out at -0.11 eV per atom. For the magnetization, the calculation gives 0.00 μB per cell. As for the space-group type: Cm, No. 8.

Question: What is the formula in the second record?
Answer: NdThSe2N

Question: The highest density of states at the Fermi level belongs to which entry?
Answer: SrZrW